Record 1
Li6CuPd6 | PBE | optimized geometry

Cell lengths 4.8707, 4.8707, 8.6029 Å; angles 90.00, 90.00, 120.00 degrees
Fractional coordinates of all 13 atoms:
Pd 0.0000 0.0000 0.3483
Pd 0.6667 0.3333 0.5000
Pd 0.3333 0.6667 0.5000
Pd 0.0000 0.0000 0.6517
Pd 0.3333 0.6667 0.0000
Pd 0.6667 0.3333 0.0000
Li 0.5000 0.5000 0.2446
Li 0.5000 0.5000 0.7554
Li 0.0000 0.5000 0.2446
Li 0.0000 0.5000 0.7554
Li 0.5000 0.0000 0.7554
Li 0.5000 0.0000 0.2446
Cu 0.0000 0.0000 0.0000

The value obtained for the uncorrected energy is -3.8322 eV/atom.

=====

Record 2
Li3Cu4Pd2 | PBE | optimized geometry

Cell lengths 4.6272, 4.6272, 7.9062 Å; angles 107.56, 107.56, 47.53 degrees
Fractional coordinates of all 9 atoms:
Li 0.3309 0.3309 0.4409
Li 0.0000 0.0000 0.0000
Li 0.6691 0.6691 0.5591
Cu 0.9899 0.9899 0.3284
Cu 0.3298 0.3298 0.1115
Cu 0.0101 0.0101 0.6716
Cu 0.6702 0.6702 0.8885
Pd 0.6611 0.6611 0.2225
Pd 0.3389 0.3389 0.7775

The value obtained for the uncorrected energy is -3.8119 eV/atom.

=====

Record 3
Li7Cu2Pd | PBE | optimized geometry

Cell lengths 4.3047, 4.3047, 9.6525 Å; angles 90.00, 90.00, 120.00 degrees
Fractional coordinates of all 10 atoms:
Li 0.6667 0.3333 0.8520
Li 0.0000 0.0000 0.6699
Li 0.0000 0.0000 0.2543
Li 0.6667 0.3333 0.0987
Li 0.6667 0.3333 0.5963
Li 0.3333 0.6667 0.0444
Li 0.3333 0.6667 0.4400
Cu 0.6667 0.3333 0.3476
Cu 0.3333 0.6667 0.7735
Pd 0.0000 0.0000 0.9398

The value obtained for the uncorrected energy is -2.7207 eV/atom.

=====

Record 4
LiCu4Pd2 | PBE | optimized geometry

Cell lengths 4.6363, 4.6363, 10.1874 Å; angles 98.31, 98.31, 111.41 degrees
Fractional coordinates of all 14 atoms:
Cu 0.0056 0.2253 0.3063
Cu 0.5787 0.2930 0.9476
Cu 0.8820 0.0956 0.5520
Cu 0.9188 0.6995 0.6937
Cu 0.9495 0.6688 0.1937
Cu 0.3456 0.6320 0.0520
Cu 0.5430 0.3286 0.4476
Cu 0.4753 0.7556 0.8063
Pd 0.4467 0.1902 0.1791
Pd 0.4402 0.1967 0.6791
Pd 0.5174 0.7605 0.3209
Pd 0.0105 0.2674 0.8209
Li 0.9428 0.9438 0.0003
Li 0.1938 0.6928 0.5003

The energy above the most stable polymorph in this dataset comes out at 0.013 eV/atom.